Record 1
Here is a crystal of LiFe2Cl2O2 relaxed with PBEsol from the Alexandria database. Energies are from SCAN.

Cell and atoms, written as POSCAR:
```
LiFe2Cl2O2
1.0
3.369 0.000 0.000
0.000 3.853 0.000
0.000 0.000 7.993
Cl Fe O Li
2 2 2 1
direct
0.000 0.000 0.299
0.500 0.500 0.665
0.500 0.000 0.060
0.000 0.500 0.904
0.000 0.000 0.915
0.500 0.500 0.053
0.000 0.500 0.464
```

As for the spin magnetization: 9.000 μB/cell. As for the space group: Pmm2 (25). The density of states at the Fermi level is 0.3541 states/eV/atom.



Record 2
Here is a crystal of MgFeCl relaxed with PBEsol from the Alexandria database. Energies are from SCAN.

Cell and atoms, written as POSCAR:
```
MgFeCl
1.0
3.055 -0.007 0.000
-1.258 2.784 0.000
-0.898 -1.388 5.904
Cl Fe Mg
1 1 1
direct
0.005 0.005 0.011
0.662 0.662 0.325
0.332 0.332 0.664
```

As for the spin magnetization: 2.955 μB/cell. As for the space group: Fmm2 (42). The density of states at the Fermi level is 0.1067 states/eV/atom.



Record 3
Here is a crystal of Mg2FeCl relaxed with PBEsol from the Alexandria database. Energies are from SCAN.

Cell and atoms, written as POSCAR:
```
Mg2FeCl
1.0
2.991 0.000 0.000
0.000 3.105 0.019
0.000 -0.043 7.685
Cl Fe Mg
1 1 2
direct
0.500 0.000 0.500
0.500 0.500 0.000
0.000 0.000 0.775
0.000 0.000 0.225
```

As for the spin magnetization: 2.442 μB/cell. As for the space group: Pmmm (47). The energy above the most stable polymorph in this dataset is 0 meV per atom. The density of states at the Fermi level is 0.4118 states/eV/atom.



Record 4
Here is a crystal of Mg2FeCl relaxed with PBEsol from the Alexandria database. Energies are from SCAN.

Cell and atoms, written as POSCAR:
```
Mg2FeCl
1.0
3.013 0.000 0.000
0.000 4.761 0.000
-1.506 -2.381 5.071
Cl Fe Mg
1 1 2
direct
0.554 0.554 0.107
0.233 0.733 0.466
0.955 0.955 0.909
0.759 0.259 0.518
```

As for the spin magnetization: 2.735 μB/cell. As for the space group: Imm2 (44). The energy above the most stable polymorph in this dataset is 317 meV per atom. The density of states at the Fermi level is 0.2280 states/eV/atom.



| no. | energy (eV/atom) | uncorrected formation energy (eV per atom) |
| --- | --- | --- |
| 1 | -11.080 | -1.50 |
| 2 | -10.563 | -0.20 |
| 3 | -9.393 | -0.38 |
| 4 | -9.076 | -0.06 |